Computed, not measured: an optimized crystal structure of Nd3Y6Sc at the PBE-GGA level of DFT.

Computed properties:
Calculated volume = 34.25 Å³/atom
E above lowest polymorph = 139 meV per atom
DOS(E_F) = 1.4444 states/eV per atom
DFT formation energy = 0.2804 eV per atom

a b c (Å): 9.198 8.458 8.957
angles (deg): 90.00 100.58 90.00
Space group C2/m (No. 12)
Asymmetric unit:
Nd (0.000, 0.000, 0.000) (multiplicity 2)
Nd (0.217, 0.000, 0.746) (multiplicity 4)
Y (0.116, 0.500, 0.861) (multiplicity 4)
Y (0.119, 0.186, 0.359) (multiplicity 8)
Sc (0.000, 0.500, 0.500) (multiplicity 2)